## one
This record from Alexandria describes a relaxed structure of Fe2ReAsPb. The functional is PBE.

```
5
Lattice="4.389 0.000 0.000 0.000 5.441 0.000 0.000 0.000 4.389" Properties=species:S:1:pos:R:3 pbc="T T T"
Pb 0.000 2.720 0.000
Re 2.195 2.720 2.195
As 0.000 0.000 0.000
Fe 2.195 0.000 0.000
Fe 0.000 0.000 2.195
```

Summary:
V (Å³/cell): 104.8

## two
This record from Alexandria describes a relaxed structure of Fe2ReAsPb. The functional is PBE.

```
5
Lattice="-3.746 -2.998 -0.541 2.927 -3.649 -0.043 -0.394 -0.373 4.798" Properties=species:S:1:pos:R:3 pbc="T T T"
Pb -0.607 -3.510 2.107
Re 0.000 0.000 0.000
As 1.463 -1.825 -0.021
Fe -1.873 -1.499 -0.270
Fe -0.197 -0.186 2.399
```

Summary:
V (Å³/cell): 109.1

Stability, descending: two, one

## one
This record from Alexandria describes a relaxed structure of FeAs2PbSe. The functional is PBE.

```
5
Lattice="-0.430 -2.939 -4.391 5.283 -0.257 -0.346 -0.021 -4.453 2.983" Properties=species:S:1:pos:R:3 pbc="T T T"
As -0.215 -1.470 -2.195
As 2.642 -0.128 -0.173
Pb 0.000 0.000 0.000
Se -0.011 -2.227 1.491
Fe 2.416 -3.824 -0.877
```

Summary:
V (Å³/cell): 150.6

## two
This record from Alexandria describes a relaxed structure of FeAs2PbSe. The functional is PBE.

```
5
Lattice="4.411 0.000 0.000 0.000 4.411 0.000 0.000 0.000 5.355" Properties=species:S:1:pos:R:3 pbc="T T T"
As 2.206 0.000 0.000
As 0.000 2.206 0.000
Se 0.000 0.000 2.677
Pb 2.206 2.206 2.677
Fe 0.000 0.000 0.000
```

Summary:
V (Å³/cell): 104.2

Stability, descending: two, one

## one
This record from Alexandria describes a relaxed structure of Fe2AsPd2. The functional is PBE.

```
5
Lattice="3.714 0.000 0.000 0.000 3.714 0.000 1.857 1.857 5.856" Properties=species:S:1:pos:R:3 pbc="T T T"
Pd 1.857 3.714 2.928
Pd 3.714 1.857 2.928
Fe 1.857 1.857 1.149
Fe 3.714 3.714 4.707
As 0.000 0.000 0.000
```

Summary:
V (Å³/cell): 80.8

## two
This record from Alexandria describes a relaxed structure of Fe2AsPd2. The functional is PBE.

```
10
Lattice="-1.706 5.279 -2.346 -5.296 -2.406 -1.563 -1.549 1.088 3.574" Properties=species:S:1:pos:R:3 pbc="T T T"
Fe -5.211 -0.151 -2.212
Fe -4.835 3.046 -3.022
Fe -2.167 -0.173 -0.886
Fe -1.791 3.025 -1.697
Pd -4.007 4.160 -0.714
Pd -6.349 2.008 -1.074
Pd -2.202 1.953 0.740
Pd -4.544 -0.199 0.380
As -3.501 1.437 -1.954
As 0.000 0.000 0.000
```

Summary:
V (Å³/cell): 146.7

Stability, descending: two, one

## one
This record from Alexandria describes a relaxed structure of Fe3AsPd. The functional is PBE.

```
5
Lattice="-2.973 0.482 3.507 -3.505 -1.045 -2.827 0.498 -4.477 1.037" Properties=species:S:1:pos:R:3 pbc="T T T"
Fe -1.486 0.241 1.754
Fe 0.249 -2.239 0.519
Fe -1.752 -0.523 -1.414
Pd 0.000 0.000 0.000
As -2.990 -2.520 0.859
```

Summary:
V (Å³/cell): 98.8

## two
This record from Alexandria describes a relaxed structure of Fe3AsPd. The functional is PBE.

```
5
Lattice="-2.117 -2.744 -2.669 1.669 -3.407 2.179 -3.445 0.036 2.695" Properties=species:S:1:pos:R:3 pbc="T T T"
As 0.000 0.000 0.000
Pd -1.947 -3.057 1.102
Fe -1.723 0.018 1.348
Fe 0.834 -1.703 1.089
Fe -1.059 -1.372 -1.335
```

Summary:
V (Å³/cell): 83.7

Stability, descending: two, one

## one
This record from Alexandria describes a relaxed structure of FeAsPd3. The functional is PBE.

```
5
Lattice="-4.570 0.359 0.504 -0.102 -4.140 2.029 0.611 1.999 4.110" Properties=species:S:1:pos:R:3 pbc="T T T"
Fe -2.030 -0.891 3.322
Pd -2.285 0.180 0.252
Pd -0.051 -2.070 1.014
Pd 0.305 1.000 2.055
As 0.000 0.000 0.000
```

Summary:
V (Å³/cell): 98.1

## two
This record from Alexandria describes a relaxed structure of FeAsPd3. The functional is PBE.

```
5
Lattice="-0.599 4.566 0.102 -0.520 -0.171 4.573 4.537 0.584 0.537" Properties=species:S:1:pos:R:3 pbc="T T T"
Pd -0.260 -0.085 2.287
Pd 2.269 0.292 0.269
Pd -0.300 2.283 0.051
As 1.709 2.489 2.606
Fe 0.000 0.000 0.000
```

Summary:
V (Å³/cell): 97.7

Stability, descending: one, two

## one
This record from Alexandria describes a relaxed structure of FeAs2PdSe. The functional is PBE.

```
5
Lattice="-3.602 3.303 -1.275 -1.810 -2.959 -2.553 -2.834 -1.599 3.863" Properties=species:S:1:pos:R:3 pbc="T T T"
As -1.417 -0.800 1.931
As -1.801 1.652 -0.637
Fe -0.905 -1.479 -1.277
Se 0.000 0.000 0.000
Pd -4.123 -0.627 0.017
```

Summary:
V (Å³/cell): 109.9

## two
This record from Alexandria describes a relaxed structure of FeAs2PdSe. The functional is PBE.

```
5
Lattice="4.381 0.000 0.000 0.000 4.381 0.000 0.000 0.000 5.047" Properties=species:S:1:pos:R:3 pbc="T T T"
Se 0.000 0.000 2.524
As 0.000 2.191 0.000
As 2.191 0.000 0.000
Fe 0.000 0.000 0.000
Pd 2.191 2.191 2.524
```

Summary:
V (Å³/cell): 96.9

Stability, descending: two, one

## one
This record from Alexandria describes a relaxed structure of Pm2FeAs. The functional is PBE.

```
4
Lattice="3.756 0.000 0.000 0.000 4.946 0.000 0.000 0.000 4.946" Properties=species:S:1:pos:R:3 pbc="T T T"
Pm 0.000 2.473 0.000
Pm 0.000 0.000 2.473
As 1.878 2.473 2.473
Fe 1.878 0.000 0.000
```

Summary:
V (Å³/cell): 91.9

## two
This record from Alexandria describes a relaxed structure of Pm2FeAs. The functional is PBE.

```
4
Lattice="-0.485 1.224 -4.892 -1.863 -3.378 -3.283 -4.606 0.681 -1.996" Properties=species:S:1:pos:R:3 pbc="T T T"
Fe -3.477 -0.737 -5.085
Pm -5.215 -1.105 -7.628
Pm -1.738 -0.368 -2.543
As 0.000 0.000 0.000
```

Summary:
V (Å³/cell): 91.9

Stability, descending: one, two

## one
This record from Alexandria describes a relaxed structure of PmFeAs2. The functional is PBE.

```
4
Lattice="4.242 0.000 0.000 2.121 3.674 0.000 2.121 1.225 7.913" Properties=species:S:1:pos:R:3 pbc="T T T"
As 2.121 1.225 5.622
As 6.363 3.674 2.292
Pm 4.242 2.449 3.957
Fe 0.000 0.000 0.000
```

Summary:
V (Å³/cell): 123.3

## two
This record from Alexandria describes a relaxed structure of PmFeAs2. The functional is PBE.

```
4
Lattice="-0.904 1.639 -3.331 3.396 -2.287 -2.047 -2.872 -3.445 -0.915" Properties=species:S:1:pos:R:3 pbc="T T T"
Pm -0.190 -2.047 -3.146
As 1.698 -1.144 -1.023
As -1.436 -1.722 -0.458
Fe -0.452 0.819 -1.665
```

Summary:
V (Å³/cell): 80.0

## three
This record from Alexandria describes a relaxed structure of PmFeAs2. The functional is PBE.

```
4
Lattice="-0.594 -1.892 4.385 -2.307 -4.191 0.521 2.441 -3.949 1.268" Properties=species:S:1:pos:R:3 pbc="T T T"
As -0.344 -7.524 4.630
As -0.115 -2.508 1.543
Pm 0.000 0.000 0.000
Fe -0.230 -5.016 3.087
```

Summary:
V (Å³/cell): 78.8

Stability, descending: two, three, one

## one
This record from Alexandria describes a relaxed structure of FeAsPt3. The functional is PBE.

```
5
Lattice="-2.584 3.766 0.815 -2.333 -0.748 -3.939 -3.066 -2.604 2.311" Properties=species:S:1:pos:R:3 pbc="T T T"
Pt -1.167 -0.374 -1.970
Pt -1.533 -1.302 1.155
Pt -1.292 1.883 0.407
Fe -3.991 0.207 -0.407
As 0.000 0.000 0.000
```

Summary:
V (Å³/cell): 99.8

## two
This record from Alexandria describes a relaxed structure of FeAsPt3. The functional is PBE.

```
5
Lattice="-4.603 0.135 0.037 -0.075 -1.342 -4.404 -0.118 -4.403 1.344" Properties=species:S:1:pos:R:3 pbc="T T T"
Pt -0.037 -0.671 -2.202
Pt -0.059 -2.201 0.672
Pt -2.301 0.067 0.019
As -2.398 -2.805 -1.511
Fe 0.000 0.000 0.000
```

Summary:
V (Å³/cell): 97.6

Stability, descending: one, two

## one
This record from Alexandria describes a relaxed structure of RbFeAs3. The functional is PBE.

```
5
Lattice="-4.964 -0.489 -2.332 1.103 -5.248 -1.248 -2.112 -1.592 4.829" Properties=species:S:1:pos:R:3 pbc="T T T"
As -2.482 -0.244 -1.166
As 0.552 -2.624 -0.624
As -1.056 -0.796 2.414
Rb 0.000 0.000 0.000
Fe -2.986 -3.665 0.624
```

Summary:
V (Å³/cell): 166.9

## two
This record from Alexandria describes a relaxed structure of RbFeAs3. The functional is PBE.

```
5
Lattice="-4.146 -1.881 1.546 -1.163 -1.151 -4.521 2.139 -4.272 0.538" Properties=species:S:1:pos:R:3 pbc="T T T"
Rb -1.585 -3.652 -1.219
Fe 0.000 0.000 0.000
As -0.582 -0.576 -2.260
As -2.073 -0.941 0.773
As 1.069 -2.136 0.269
```

Summary:
V (Å³/cell): 111.1

Stability, descending: two, one

## one
This record from Alexandria describes a relaxed structure of RbFeAs2. The functional is PBE.

```
4
Lattice="-0.200 -3.491 1.741 1.297 -3.184 -1.854 6.847 -1.206 2.748" Properties=species:S:1:pos:R:3 pbc="T T T"
As 1.232 -2.089 0.335
As 6.712 -5.792 2.301
Fe 0.000 0.000 0.000
Rb 3.972 -3.940 1.318
```

Summary:
V (Å³/cell): 94.2

## two
This record from Alexandria describes a relaxed structure of RbFeAs2. The functional is PBE.

```
8
Lattice="-4.066 3.186 -2.839 -4.239 -3.470 2.177 -4.709 3.851 4.948" Properties=species:S:1:pos:R:3 pbc="T T T"
As -5.352 -0.011 1.533
As -7.707 1.914 4.008
As -3.231 1.723 0.445
As -9.739 3.508 2.587
Rb 0.000 0.000 0.000
Rb -6.464 3.448 0.889
Fe -4.153 -0.142 -0.331
Fe -6.550 0.120 3.397
```

Summary:
V (Å³/cell): 230.8

## three
This record from Alexandria describes a relaxed structure of RbFeAs2. The functional is PBE.

```
4
Lattice="0.000 3.539 3.539 3.539 0.000 3.539 3.539 3.539 0.000" Properties=species:S:1:pos:R:3 pbc="T T T"
As 1.769 1.769 1.769
As 5.308 5.308 5.308
Fe 0.000 0.000 0.000
Rb 3.539 3.539 3.539
```

Summary:
V (Å³/cell): 88.6

Stability, descending: one, two, three

## one
This record from Alexandria describes a relaxed structure of RbFe3As. The functional is PBE.

```
5
Lattice="-2.749 3.677 1.089 -3.364 -2.955 1.487 1.841 0.090 4.343" Properties=species:S:1:pos:R:3 pbc="T T T"
As 0.000 0.000 0.000
Fe -1.682 -1.478 0.744
Fe 0.921 0.045 2.172
Fe -1.374 1.838 0.545
Rb -2.136 0.406 3.460
```

Summary:
V (Å³/cell): 105.0

## two
This record from Alexandria describes a relaxed structure of RbFe3As. The functional is PBE.

```
5
Lattice="-3.902 0.133 -2.595 0.198 -4.653 -0.536 -2.590 -0.556 3.868" Properties=species:S:1:pos:R:3 pbc="T T T"
As -3.147 -2.538 0.369
Fe -1.951 0.066 -1.297
Fe -1.295 -0.278 1.934
Fe 0.099 -2.327 -0.268
Rb 0.000 0.000 0.000
```

Summary:
V (Å³/cell): 103.0

Stability, descending: one, two

## one
This record from Alexandria describes a relaxed structure of FeRe3As. The functional is PBE.

```
5
Lattice="-3.790 -0.121 2.387 -1.380 -3.543 -2.370 1.951 -2.740 2.959" Properties=species:S:1:pos:R:3 pbc="T T T"
Re 0.976 -1.370 1.480
Re -1.895 -0.060 1.194
Re -0.690 -1.771 -1.185
As 0.000 0.000 0.000
Fe -1.609 -3.202 1.488
```

Summary:
V (Å³/cell): 89.9

## two
This record from Alexandria describes a relaxed structure of FeRe3As. The functional is PBE.

```
5
Lattice="-4.184 0.842 -1.237 -0.448 -4.209 -1.351 -1.428 -1.148 4.048" Properties=species:S:1:pos:R:3 pbc="T T T"
Re -2.092 0.421 -0.618
Re -0.714 -0.574 2.024
Re -0.224 -2.104 -0.676
As -3.030 -2.257 0.730
Fe 0.000 0.000 0.000
```

Summary:
V (Å³/cell): 87.7

Stability, descending: two, one